No. 1
# SnSb2Au PBE-GGA relaxed
data_SnSb2Au
_chemical_formula_sum 'Sn1 Sb2 Au1'
_cell_length_a 5.143
_cell_length_b 4.207
_cell_length_c 5.189
_cell_angle_alpha 90.00
_cell_angle_beta 108.16
_cell_angle_gamma 90.00
_symmetry_space_group_name_H-M 'P 1 2/m 1'
_symmetry_Int_Tables_number 10
loop_
_symmetry_equiv_pos_as_xyz
'x,y,z'
'-x,-y,-z'
'-x,y,-z'
'x,-y,z'
loop_
_atom_site_label
_atom_site_type_symbol
_atom_site_fract_x
_atom_site_fract_y
_atom_site_fract_z
Sn1 Sn 0.000 0.000 0.000
Sb1 Sb 0.267 0.500 0.711
Au1 Au 0.500 0.000 0.500
# Spin magnetization, μB/cell: 0.0
# Raw formation energy, eV per atom: -0.026
# Total energy, eV per atom: -3.9070

No. 2
# HoEr2Sn PBE-GGA relaxed
data_HoEr2Sn
_chemical_formula_sum 'Ho1 Er2 Sn1'
_cell_length_a 3.554
_cell_length_b 3.554
_cell_length_c 9.133
_cell_angle_alpha 90.00
_cell_angle_beta 90.00
_cell_angle_gamma 90.00
_symmetry_space_group_name_H-M 'P 4/m m m'
_symmetry_Int_Tables_number 123
_symmetry_space_group_name_Hall '-P 4 2'
loop_
_atom_site_label
_atom_site_type_symbol
_atom_site_fract_x
_atom_site_fract_y
_atom_site_fract_z
Ho1 Ho 0.000 0.000 0.000
Er1 Er 0.500 0.500 0.270
Sn1 Sn 0.000 0.000 0.500
# Spin magnetization, μB/cell: 0.0
# Total energy, eV per atom: -4.7280
# Formation energy, meV per atom: -301

No. 3
# Dy4Sn2Sb PBE-GGA relaxed
data_Dy4Sn2Sb
_chemical_formula_sum 'Dy8 Sn4 Sb2'
_cell_length_a 6.111
_cell_length_b 6.494
_cell_length_c 10.235
_cell_angle_alpha 90.00
_cell_angle_beta 99.00
_cell_angle_gamma 90.00
_symmetry_space_group_name_H-M 'P 1 21/m 1'
_symmetry_Int_Tables_number 11
loop_
_symmetry_equiv_pos_as_xyz
'x,y,z'
'-x,-y,-z'
'-x,y+1/2,-z'
'x,-y+1/2,z'
loop_
_atom_site_label
_atom_site_type_symbol
_atom_site_fract_x
_atom_site_fract_y
_atom_site_fract_z
Dy1 Dy 0.034 0.250 0.159
Dy2 Dy 0.140 0.750 0.449
Dy3 Dy 0.427 0.007 0.733
Sn1 Sn 0.310 0.250 0.457
Sn2 Sn 0.496 0.250 0.008
Sb1 Sb 0.046 0.750 0.156
# Spin magnetization, μB/cell: 0.0
# Raw formation energy, eV per atom: -0.631
# Total energy, eV per atom: -4.9934

No. 4
# LaHg2As PBE-GGA relaxed
data_LaHg2As
_chemical_formula_sum 'La2 Hg4 As2'
_cell_length_a 4.819
_cell_length_b 5.695
_cell_length_c 7.589
_cell_angle_alpha 90.00
_cell_angle_beta 90.00
_cell_angle_gamma 90.00
_symmetry_space_group_name_H-M 'I m m 2'
_symmetry_Int_Tables_number 44
loop_
_symmetry_equiv_pos_as_xyz
'x,y,z'
'-x,-y,z'
'-x,y,z'
'x,-y,z'
'x+1/2,y+1/2,z+1/2'
'-x+1/2,-y+1/2,z+1/2'
'-x+1/2,y+1/2,z+1/2'
'x+1/2,-y+1/2,z+1/2'
loop_
_atom_site_label
_atom_site_type_symbol
_atom_site_fract_x
_atom_site_fract_y
_atom_site_fract_z
La1 La 0.000 0.000 0.000
Hg1 Hg 0.000 0.000 0.504
Hg2 Hg 0.000 0.500 0.768
As1 As 0.000 0.500 0.231
# Spin magnetization, μB/cell: 0.0
# Total energy, eV per atom: -3.0320
# Formation energy, meV per atom: -487

No. 5
# K4Tm3InSe8 PBE-GGA relaxed
data_K4Tm3InSe8
_chemical_formula_sum 'K12 Tm9 In3 Se24'
_cell_length_a 8.3107
_cell_length_b 8.3107
_cell_length_c 23.0539
_cell_angle_alpha 90.00
_cell_angle_beta 90.00
_cell_angle_gamma 120.00
_symmetry_space_group_name_H-M 'R -3 m'
_symmetry_Int_Tables_number 166
_symmetry_space_group_name_Hall '-R 3 2"'
loop_
_atom_site_label
_atom_site_type_symbol
_atom_site_fract_x
_atom_site_fract_y
_atom_site_fract_z
K1 K 0.0000 0.0000 0.0000
K2 K 0.0000 0.5000 0.0000
Tm1 Tm 0.0000 0.5000 0.5000
In1 In 0.0000 0.0000 0.5000
Se1 Se 0.0000 0.0000 0.2342
Se2 Se 0.0020 0.5010 0.2340
# Spin magnetization, μB/cell: 0.0
# Raw formation energy, eV per atom: -1.511
# Total energy, eV per atom: -4.5375

No. 6
# NaLa2ZnH PBE-GGA relaxed
data_NaLa2ZnH
_chemical_formula_sum 'Na1 La2 Zn1 H1'
_cell_length_a 5.159
_cell_length_b 5.159
_cell_length_c 4.408
_cell_angle_alpha 90.00
_cell_angle_beta 90.00
_cell_angle_gamma 90.00
_symmetry_space_group_name_H-M 'P 4/m m m'
_symmetry_Int_Tables_number 123
_symmetry_space_group_name_Hall '-P 4 2'
loop_
_atom_site_label
_atom_site_type_symbol
_atom_site_fract_x
_atom_site_fract_y
_atom_site_fract_z
Na1 Na 0.000 0.000 0.000
La1 La 0.000 0.500 0.500
Zn1 Zn 0.500 0.500 0.000
H1 H 0.000 0.000 0.500
# Spin magnetization, μB/cell: 0.0
# Total energy, eV per atom: -3.3094

No. 7
# MgMnSe2 PBE-GGA relaxed
data_MgMnSe2
_chemical_formula_sum 'Mg4 Mn4 Se8'
_cell_length_a 6.845
_cell_length_b 6.845
_cell_length_c 6.845
_cell_angle_alpha 90.00
_cell_angle_beta 90.00
_cell_angle_gamma 90.00
_symmetry_space_group_name_H-M 'F -4 3 m'
_symmetry_Int_Tables_number 216
_symmetry_space_group_name_Hall 'F -4 2 3'
loop_
_atom_site_label
_atom_site_type_symbol
_atom_site_fract_x
_atom_site_fract_y
_atom_site_fract_z
Mg1 Mg 0.000 0.000 0.000
Mn1 Mn 0.250 0.250 0.750
Se1 Se 0.000 0.000 0.500
Se2 Se 0.250 0.250 0.250
# Spin magnetization, μB/cell: 18.7
# Raw formation energy, eV per atom: 0.179
# Total energy, eV per atom: -4.2543

No. 8
# K2InBr4 PBE-GGA relaxed
data_K2InBr4
_chemical_formula_sum 'K4 In2 Br8'
_cell_length_a 5.644
_cell_length_b 5.644
_cell_length_c 17.009
_cell_angle_alpha 90.00
_cell_angle_beta 90.00
_cell_angle_gamma 90.00
_symmetry_space_group_name_H-M 'I 4/m m m'
_symmetry_Int_Tables_number 139
_symmetry_space_group_name_Hall '-I 4 2'
loop_
_atom_site_label
_atom_site_type_symbol
_atom_site_fract_x
_atom_site_fract_y
_atom_site_fract_z
K1 K 0.000 0.000 0.140
In1 In 0.000 0.000 0.500
Br1 Br 0.000 0.000 0.329
Br2 Br 0.000 0.500 0.000
# Spin magnetization, μB/cell: 0.0
# Raw formation energy, eV per atom: -1.270
# Total energy, eV per atom: -2.9309

No. 9
# Cu3C PBE-GGA relaxed
data_Cu3C
_chemical_formula_sum 'Cu6 C2'
_cell_length_a 6.4107
_cell_length_b 6.4107
_cell_length_c 2.6284
_cell_angle_alpha 90.00
_cell_angle_beta 90.00
_cell_angle_gamma 120.00
_symmetry_space_group_name_H-M 'P 63/m m c'
_symmetry_Int_Tables_number 194
_symmetry_space_group_name_Hall '-P 6c 2c'
loop_
_atom_site_label
_atom_site_type_symbol
_atom_site_fract_x
_atom_site_fract_y
_atom_site_fract_z
Cu1 Cu 0.1966 0.3932 0.2500
C1 C 0.3333 0.6667 0.7500
# Spin magnetization, μB/cell: 0.0
# Total energy, eV per atom: -4.5707
# Formation energy, meV per atom: 807

No. 10
# Y2ScRe PBE-GGA relaxed
data_Y2ScRe
_chemical_formula_sum 'Y4 Sc2 Re2'
_cell_length_a 11.813
_cell_length_b 3.538
_cell_length_c 5.219
_cell_angle_alpha 90.00
_cell_angle_beta 116.20
_cell_angle_gamma 90.00
_symmetry_space_group_name_H-M 'C 1 m 1'
_symmetry_Int_Tables_number 8
loop_
_symmetry_equiv_pos_as_xyz
'x,y,z'
'x,-y,z'
'x+1/2,y+1/2,z'
'x+1/2,-y+1/2,z'
loop_
_atom_site_label
_atom_site_type_symbol
_atom_site_fract_x
_atom_site_fract_y
_atom_site_fract_z
Y1 Y 0.000 0.000 0.000
Y2 Y 0.205 0.000 0.704
Sc1 Sc 0.404 0.000 0.404
Re1 Re 0.216 0.500 0.215
# Spin magnetization, μB/cell: 0.0
# Total energy, eV per atom: -7.8213
# Formation energy, meV per atom: 106

No. 11
# La2MgVI PBE-GGA relaxed
data_La2MgVI
_chemical_formula_sum 'La2 Mg1 V1 I1'
_cell_length_a 5.935
_cell_length_b 5.935
_cell_length_c 5.235
_cell_angle_alpha 90.00
_cell_angle_beta 90.00
_cell_angle_gamma 90.00
_symmetry_space_group_name_H-M 'P 4/m m m'
_symmetry_Int_Tables_number 123
_symmetry_space_group_name_Hall '-P 4 2'
loop_
_atom_site_label
_atom_site_type_symbol
_atom_site_fract_x
_atom_site_fract_y
_atom_site_fract_z
La1 La 0.000 0.500 0.000
Mg1 Mg 0.000 0.000 0.500
V1 V 0.500 0.500 0.500
I1 I 0.000 0.000 0.000
# Spin magnetization, μB/cell: 0.2
# Raw formation energy, eV per atom: 0.865
# Total energy, eV per atom: -3.5591

No. 12
# CdSn3Ge PBE-GGA relaxed
data_CdSn3Ge
_chemical_formula_sum 'Cd1 Sn3 Ge1'
_cell_length_a 5.475
_cell_length_b 5.475
_cell_length_c 5.475
_cell_angle_alpha 90.00
_cell_angle_beta 90.00
_cell_angle_gamma 90.00
_symmetry_space_group_name_H-M 'P m -3 m'
_symmetry_Int_Tables_number 221
_symmetry_space_group_name_Hall '-P 4 2 3'
loop_
_atom_site_label
_atom_site_type_symbol
_atom_site_fract_x
_atom_site_fract_y
_atom_site_fract_z
Cd1 Cd 0.000 0.000 0.000
Sn1 Sn 0.000 0.000 0.500
Ge1 Ge 0.500 0.500 0.500
# Spin magnetization, μB/cell: 0.0
# Total energy, eV per atom: -2.7797
# Formation energy, meV per atom: 728

Which value of total energy does entry 9 give?
-4.5707 eV per atom